Entry 1:
DFT (PBE) results for MnFeAs after structural relaxation. Values from VASP.

Structure (Quantum ESPRESSO input):
```
&SYSTEM
  ibrav = 0, nat = 3, ntyp = 3
/
ATOMIC_SPECIES
Fe 55.84 Fe.upf
Mn 54.94 Mn.upf
As 74.92 As.upf
CELL_PARAMETERS angstrom
5.991 0.005 -0.004
5.134 2.687 -0.012
0.858 -0.582 2.618
ATOMIC_POSITIONS angstrom
Fe 4.288 0.512 1.738
Mn 7.705 1.602 0.862
As 11.113 2.689 -0.013
```

Calculated values
DFT formation energy, eV/atom: 0.21
DOS(E_F), states/eV/f.u.: 2.0
Symmetry: No. 42
M_tot, μB/cell: 5.53

Entry 2:
DFT (PBE) results for CoAuBr2 after structural relaxation. Values from VASP.

Structure (Quantum ESPRESSO input):
```
&SYSTEM
  ibrav = 0, nat = 4, ntyp = 3
/
ATOMIC_SPECIES
Br 79.90 Br.upf
Au 196.97 Au.upf
Co 58.93 Co.upf
CELL_PARAMETERS angstrom
-2.135 -4.200 1.100
-1.520 -3.929 -2.381
5.001 -5.317 0.469
ATOMIC_POSITIONS angstrom
Br -3.126 -8.669 -1.230
Br -0.029 -10.296 -0.809
Au 1.536 -3.690 -0.017
Co -0.018 -5.644 -0.444
```

Calculated values
E_form (uncorrected), eV/atom: 0.106
DOS(E_F), states/eV/f.u.: 3.6
Symmetry: No. 8
Energy relative to the lowest polymorph listed for this composition, eV/atom: 0.066
M_tot, μB/cell: 2.01

Entry 3:
DFT (PBE) results for Rb3PmAg2F9 after structural relaxation. Values from VASP.

Structure (Quantum ESPRESSO input):
```
&SYSTEM
  ibrav = 0, nat = 15, ntyp = 4
/
ATOMIC_SPECIES
Rb 85.47 Rb.upf
F 19.00 F.upf
Ag 107.87 Ag.upf
Pm 145.00 Pm.upf
CELL_PARAMETERS angstrom
-3.506 0.065 -5.413
2.852 -5.453 1.930
-6.657 -1.964 4.288
ATOMIC_POSITIONS angstrom
Rb 0.000 0.000 0.000
F -6.921 -2.133 -1.373
Ag -6.952 -3.417 0.619
Pm -3.329 -0.982 2.144
Ag -0.359 -3.936 0.185
Rb -4.072 -5.032 2.576
F -1.753 0.033 -2.707
F -5.108 -2.166 1.427
F -0.390 -5.220 2.177
Rb -3.239 -2.321 -1.773
F -0.327 -2.694 -1.742
F -2.203 -5.187 -0.623
F -5.446 -4.954 -0.375
F 1.426 -2.727 0.965
F -1.865 -2.399 1.179
```

Calculated values
E_form (uncorrected), eV/atom: -2.557
DOS(E_F), states/eV/f.u.: 3.2
Symmetry: No. 164
M_tot, μB/cell: 1.07

Entry 4:
DFT (PBE) results for LiTh2GePt6 after structural relaxation. Values from VASP.

Structure (Quantum ESPRESSO input):
```
&SYSTEM
  ibrav = 0, nat = 10, ntyp = 4
/
ATOMIC_SPECIES
Th 232.04 Th.upf
Pt 195.08 Pt.upf
Li 6.94 Li.upf
Ge 72.64 Ge.upf
CELL_PARAMETERS angstrom
8.076 -0.058 1.674
0.036 5.654 0.016
5.284 2.776 5.692
ATOMIC_POSITIONS angstrom
Th 3.878 5.621 2.710
Th 9.518 2.751 4.672
Pt 8.708 5.585 4.134
Pt 6.078 4.172 1.283
Li 4.056 2.798 0.845
Pt 6.060 1.395 1.275
Pt 7.318 4.200 6.098
Pt 7.336 6.977 6.106
Pt 4.689 2.787 3.247
Ge 0.000 0.000 0.000
```

Calculated values
DFT formation energy, eV/atom: -0.81
DOS(E_F), states/eV/f.u.: 2.8
Symmetry: No. 166
M_tot, μB/cell: 0.00

Entry 5:
DFT (PBE) results for Li5Ti7InP12O48 after structural relaxation. Values from VASP.

Structure (Quantum ESPRESSO input):
```
&SYSTEM
  ibrav = 0, nat = 73, ntyp = 5
/
ATOMIC_SPECIES
P 30.97 P.upf
O 16.00 O.upf
Li 6.94 Li.upf
Ti 47.87 Ti.upf
In 114.82 In.upf
CELL_PARAMETERS angstrom
8.648 0.000 -0.013
-4.297 7.506 0.011
-4.324 -2.495 14.168
ATOMIC_POSITIONS angstrom
P -3.036 -0.375 8.900
O -4.175 0.667 12.142
O -1.252 4.996 5.351
P 3.118 5.355 5.334
P 1.306 0.741 7.320
O 0.278 4.005 7.064
O 2.128 1.506 12.676
Li -0.007 1.989 13.091
O 2.157 2.028 7.379
O 1.066 3.305 9.679
O 1.022 0.367 3.577
O 4.137 4.399 2.348
O -3.314 2.833 10.685
O -1.022 1.548 4.464
O 0.670 2.880 3.218
O 2.364 -0.463 11.205
O -0.680 2.063 10.970
O -2.061 3.006 6.692
Ti -2.418 6.439 4.505
O -1.277 0.176 12.701
P 4.319 1.065 3.908
O 3.113 4.341 6.500
O 3.669 -0.338 3.983
O 3.028 -0.706 13.620
Ti 2.461 3.582 2.636
Ti -2.534 1.428 11.657
Ti 1.917 3.883 8.054
O -5.336 4.228 11.326
P -3.103 4.668 1.795
Li 0.053 0.222 0.152
O 1.486 4.952 1.661
O 2.160 7.056 0.506
P 1.372 5.731 0.325
P 2.980 0.258 12.415
P -0.006 1.494 3.308
O 5.026 1.380 5.250
O 0.538 3.855 12.163
O -2.882 0.658 7.765
O -1.809 5.205 7.817
O -2.214 5.349 2.855
O 2.206 4.825 4.205
O -0.105 5.938 0.072
O 1.349 0.020 8.692
O -6.730 5.753 8.543
O 4.515 1.423 0.078
O -4.061 5.522 4.899
O 1.859 -0.128 6.174
O 5.322 1.025 2.727
Li 0.118 5.041 3.752
P -1.209 4.300 6.732
O 3.271 2.165 3.681
O 4.120 -0.519 9.200
In -6.162 3.596 13.126
O -2.461 3.315 1.408
Ti -1.850 1.091 6.134
O -4.940 3.501 8.913
O -0.685 1.155 1.962
O 2.507 2.593 1.021
P -1.294 -0.705 13.979
P -4.308 3.965 10.249
O -3.566 5.300 10.001
Li -4.258 2.669 7.019
Ti 6.169 1.415 1.065
O -2.248 0.137 10.144
O -0.180 1.070 7.065
O -1.804 -0.785 5.762
O -1.014 4.531 10.333
O -3.303 5.559 0.544
P -0.008 3.463 10.780
O -2.253 2.488 13.312
Li -0.134 0.118 10.183
Ti 2.463 -1.456 9.529
O -2.231 -1.913 13.834
```

Calculated values
E_form (uncorrected), eV/atom: -2.493
DOS(E_F), states/eV/f.u.: 0.0
Symmetry: No. 1
M_tot, μB/cell: 0.00

Entry 6:
DFT (PBE) results for InMoRu after structural relaxation. Values from VASP.

Structure (Quantum ESPRESSO input):
```
&SYSTEM
  ibrav = 0, nat = 3, ntyp = 3
/
ATOMIC_SPECIES
In 114.82 In.upf
Ru 101.07 Ru.upf
Mo 95.94 Mo.upf
CELL_PARAMETERS angstrom
4.337 0.000 0.000
2.169 3.756 0.000
2.169 1.252 3.541
ATOMIC_POSITIONS angstrom
In 0.000 0.000 0.000
Ru 6.506 3.756 2.656
Mo 4.337 2.504 1.771
```

Calculated values
DFT formation energy, eV/atom: 0.36
DOS(E_F), states/eV/f.u.: 3.3
Symmetry: No. 216
M_tot, μB/cell: 0.00

Look up the M_tot of the first one. 5.53 μB/cell